# Li2AuSe, optimized geometry, DFT GGA-PBE
# Spin magnetization, μB/f.u.: 0.00
# D(E_F), states/eV/cell: 4.0
# Energy relative to the lowest polymorph listed for this composition, eV per formula unit: 0.34
data_Li2AuSe
_chemical_formula_sum 'Li8 Au4 Se4'
_cell_length_a 7.229
_cell_length_b 7.229
_cell_length_c 5.608
_cell_angle_alpha 90.00
_cell_angle_beta 90.00
_cell_angle_gamma 90.00
_space_group_name_H-M_alt 'I -4 2 d'
_space_group_IT_number 122
_space_group_name_Hall 'I -4 2bw'
loop_
_atom_site_label
_atom_site_type_symbol
_atom_site_fract_x
_atom_site_fract_y
_atom_site_fract_z
Li1 Li 0.226 0.250 0.125
Au1 Au 0.000 0.000 0.500
Se1 Se 0.000 0.000 0.000

# Ac4Ga2Br5, optimized geometry, DFT GGA-PBE
# Spin magnetization, μB/f.u.: 0.00
# D(E_F), states/eV/cell: 6.1
# Electronic total energy, eV per atom: -4.0803
data_Ac4Ga2Br5
_chemical_formula_sum 'Ac8 Ga4 Br10'
_cell_length_a 25.336
_cell_length_b 4.515
_cell_length_c 8.899
_cell_angle_alpha 90.00
_cell_angle_beta 99.89
_cell_angle_gamma 90.00
_space_group_name_H-M_alt 'C 1 2/m 1'
_space_group_IT_number 12
_space_group_name_Hall '-C 2y'
loop_
_atom_site_label
_atom_site_type_symbol
_atom_site_fract_x
_atom_site_fract_y
_atom_site_fract_z
Ac1 Ac 0.006 0.000 0.278
Ac2 Ac 0.159 0.500 0.459
Ga1 Ga 0.049 0.500 0.531
Br1 Br 0.000 0.500 0.000
Br2 Br 0.133 0.000 0.216
Br3 Br 0.221 0.000 0.664

# TaPb2Se, optimized geometry, DFT GGA-PBE
# Spin magnetization, μB/f.u.: 0.00
# D(E_F), states/eV/cell: 4.7
# Electronic total energy, eV per atom: -5.5716
data_TaPb2Se
_chemical_formula_sum 'Ta2 Pb4 Se2'
_cell_length_a 3.324
_cell_length_b 4.332
_cell_length_c 15.149
_cell_angle_alpha 90.00
_cell_angle_beta 90.00
_cell_angle_gamma 90.00
_space_group_name_H-M_alt 'I m m 2'
_space_group_IT_number 44
_space_group_name_Hall 'I 2 -2'
loop_
_atom_site_label
_atom_site_type_symbol
_atom_site_fract_x
_atom_site_fract_y
_atom_site_fract_z
Ta1 Ta 0.000 0.000 0.000
Pb1 Pb 0.000 0.000 0.421
Pb2 Pb 0.000 0.500 0.267
Se1 Se 0.000 0.500 0.626

# AcAg2Pd4, optimized geometry, DFT GGA-PBE
# Formation energy, meV per atom: -424
# Spin magnetization, μB/f.u.: 0.00
# D(E_F), states/eV/cell: 6.0
data_AcAg2Pd4
_chemical_formula_sum 'Ac2 Ag4 Pd8'
_cell_length_a 7.018
_cell_length_b 7.018
_cell_length_c 5.484
_cell_angle_alpha 90.00
_cell_angle_beta 90.00
_cell_angle_gamma 90.00
_space_group_name_H-M_alt 'I 4/m m m'
_space_group_IT_number 139
_space_group_name_Hall '-I 4 2'
loop_
_atom_site_label
_atom_site_type_symbol
_atom_site_fract_x
_atom_site_fract_y
_atom_site_fract_z
Ac1 Ac 0.000 0.000 0.000
Ag1 Ag 0.000 0.500 0.250
Pd1 Pd 0.196 0.196 0.500

# La3Nd4Sn4, optimized geometry, DFT GGA-PBE
# Formation energy, meV per atom: -581
# Spin magnetization, μB/f.u.: 0.94
# D(E_F), states/eV/cell: 26.9
data_La3Nd4Sn4
_chemical_formula_sum 'La6 Nd8 Sn8'
_cell_length_a 4.265
_cell_length_b 9.339
_cell_length_c 18.298
_cell_angle_alpha 90.00
_cell_angle_beta 90.00
_cell_angle_gamma 90.00
_space_group_name_H-M_alt 'I m m m'
_space_group_IT_number 71
_space_group_name_Hall '-I 2 2'
loop_
_atom_site_label
_atom_site_type_symbol
_atom_site_fract_x
_atom_site_fract_y
_atom_site_fract_z
La1 La 0.000 0.000 0.000
La2 La 0.000 0.500 0.095
Nd1 Nd 0.000 0.322 0.329
Sn1 Sn 0.000 0.000 0.270
Sn2 Sn 0.000 0.224 0.500

# PbCl4, optimized geometry, DFT GGA-PBE
# Spin magnetization, μB/f.u.: 1.15
# D(E_F), states/eV/cell: 9.8
# Energy relative to the lowest polymorph listed for this composition, eV per formula unit: 1.58
data_PbCl4
_chemical_formula_sum 'Pb1 Cl4'
_cell_length_a 5.415
_cell_length_b 5.415
_cell_length_c 5.415
_cell_angle_alpha 90.00
_cell_angle_beta 90.00
_cell_angle_gamma 90.00
_space_group_name_H-M_alt 'P m -3 m'
_space_group_IT_number 221
_space_group_name_Hall '-P 4 2 3'
loop_
_atom_site_label
_atom_site_type_symbol
_atom_site_fract_x
_atom_site_fract_y
_atom_site_fract_z
Pb1 Pb 0.000 0.000 0.000
Cl1 Cl 0.000 0.000 0.500
Cl2 Cl 0.500 0.500 0.500

# La6N5F, optimized geometry, DFT GGA-PBE
# Spin magnetization, μB/f.u.: 0.00
# D(E_F), states/eV/cell: 4.8
# Electronic total energy, eV per atom: -7.7251
data_La6N5F
_chemical_formula_sum 'La12 N10 F2'
_cell_length_a 6.490
_cell_length_b 11.238
_cell_length_c 6.474
_cell_angle_alpha 90.00
_cell_angle_beta 109.66
_cell_angle_gamma 90.00
_space_group_name_H-M_alt 'C 1 2/m 1'
_space_group_IT_number 12
_space_group_name_Hall '-C 2y'
loop_
_atom_site_label
_atom_site_type_symbol
_atom_site_fract_x
_atom_site_fract_y
_atom_site_fract_z
La1 La 0.237 0.000 0.261
La2 La 0.242 0.174 0.745
N1 N 0.000 0.000 0.500
N2 N 0.000 0.165 0.000
N3 N 0.000 0.328 0.500
F1 F 0.000 0.500 0.000

# LuAgSnPd, optimized geometry, DFT GGA-PBE
# Formation energy, meV per atom: -608
# Spin magnetization, μB/f.u.: 0.00
# D(E_F), states/eV/cell: 10.1
data_LuAgSnPd
_chemical_formula_sum 'Lu4 Ag4 Sn4 Pd4'
_cell_length_a 6.819
_cell_length_b 6.819
_cell_length_c 6.819
_cell_angle_alpha 90.00
_cell_angle_beta 90.00
_cell_angle_gamma 90.00
_space_group_name_H-M_alt 'F -4 3 m'
_space_group_IT_number 216
_space_group_name_Hall 'F -4 2 3'
loop_
_atom_site_label
_atom_site_type_symbol
_atom_site_fract_x
_atom_site_fract_y
_atom_site_fract_z
Lu1 Lu 0.000 0.000 0.000
Ag1 Ag 0.250 0.250 0.250
Sn1 Sn 0.000 0.000 0.500
Pd1 Pd 0.250 0.250 0.750